Below is a relaxed PmMnSi3Ir crystal, with properties calculated at the PBE level.

Crystal system: orthorhombic
N(E_F): 0.603 states/eV per atom
Total DFT energy (no corrections): -6.93 eV per atom

Structure (CIF):
```
data_PmMnSi3Ir
_cell_length_a 6.747
_cell_length_b 6.747
_cell_length_c 5.948
_cell_angle_alpha 90.00
_cell_angle_beta 90.00
_cell_angle_gamma 126.55
_space_group_name_H-M_alt 'P 1'
_space_group_IT_number 1
_space_group_name_Hall 'P 1'
loop_
_atom_site_label
_atom_site_fract_x
_atom_site_fract_y
_atom_site_fract_z
Pm1 0.233 0.767 0.750
Pm2 0.767 0.233 0.250
Mn1 0.023 0.977 0.250
Mn2 0.977 0.023 0.750
Si1 0.197 0.803 0.250
Si2 0.288 0.288 0.000
Si3 0.288 0.288 0.500
Si4 0.712 0.712 0.000
Si5 0.712 0.712 0.500
Si6 0.803 0.197 0.750
Ir1 0.384 0.616 0.250
Ir2 0.616 0.384 0.750
```